The following is a DFT calculation (PBE) of a relaxed structure of CaPrGdHo.

Lattice parameters (Å, degrees): 5.8131 5.8131 5.8131 60.00 60.00 60.00
Last column: nearest neighbours and their distance in Å.
Sites, in units of the cell vectors:
Ca  0.0000  0.0000  0.0000  4 Gd 3.56, 4 Pr 3.56
Pr  0.7500  0.7500  0.7500  4 Ca 3.56, 4 Ho 3.56
Gd  0.2500  0.2500  0.2500  4 Ho 3.56, 4 Ca 3.56
Ho  0.5000  0.5000  0.5000  4 Pr 3.56, 4 Gd 3.56

The calculation puts the formation energy at 0.1189 eV per atom.

---

The following is a DFT calculation (PBE) of a relaxed structure of CaGdHoTh.

Lattice parameters (Å, degrees): 5.7500 5.7500 5.7500 60.00 60.00 60.00
Last column: nearest neighbours and their distance in Å.
Sites, in units of the cell vectors:
Ca  0.0000  0.0000  0.0000  4 Gd 3.52, 4 Ho 3.52
Gd  0.2500  0.2500  0.2500  4 Th 3.52, 4 Ca 3.52
Ho  0.7500  0.7500  0.7500  4 Th 3.52, 4 Ca 3.52
Th  0.5000  0.5000  0.5000  4 Gd 3.52, 4 Ho 3.52

The calculation puts the formation energy at 0.2129 eV per atom.

---

The following is a DFT calculation (PBE) of a relaxed structure of CaGdYHo.

Lattice parameters (Å, degrees): 5.7561 5.7561 5.7561 60.00 60.00 60.00
Last column: nearest neighbours and their distance in Å.
Sites, in units of the cell vectors:
Ca  0.0000  0.0000  0.0000  4 Gd 3.52, 4 Y 3.52
Gd  0.2500  0.2500  0.2500  4 Ho 3.52, 4 Ca 3.52
Y  0.7500  0.7500  0.7500  4 Ho 3.52, 4 Ca 3.52
Ho  0.5000  0.5000  0.5000  4 Gd 3.52, 4 Y 3.52

The calculation puts the formation energy at 0.1504 eV per atom.

---

The following is a DFT calculation (PBE) of a relaxed structure of Ca2GdI.

Lattice parameters (Å, degrees): 12.0338 12.0338 12.0338 18.35 18.35 18.35
Last column: nearest neighbours and their distance in Å.
Sites, in units of the cell vectors:
Ca  0.0974  0.0974  0.0974  3 I 3.31, 1 Gd 3.46
Ca  0.9026  0.9026  0.9026  3 I 3.31, 1 Gd 3.46
Gd  0.0000  0.0000  0.0000  2 Ca 3.46, 6 Gd 3.84
I  0.5000  0.5000  0.5000  6 Ca 3.31

For the energy above the most stable polymorph in this dataset, the calculation gives 0.190 eV per atom.

---

| no. | theoretical density (kg/m3) | calculated total energy (eV/cell) |
| --- | --- | --- |
| 1 | 6015 | -24.96 |
| 2 | 7341 | -27.23 |
| 3 | 5555 | -26.52 |
| 4 | 4009 | -20.56 |